No. 1
# PBE-GGA RbDyPdSe3, relaxed
data_RbDyPdSe3
_space_group_name_H-M_alt 'P 1'
_space_group_IT_number 1
_cell_length_a 8.3600
_cell_length_b 8.3600
_cell_length_c 10.1581
_cell_angle_alpha 90.00
_cell_angle_beta 90.00
_cell_angle_gamma 151.28
loop_
_space_group_symop_operation_xyz
'x,y,z'
loop_
_atom_site_label
_atom_site_fract_x
_atom_site_fract_y
_atom_site_fract_z
Rb1 0.2467 0.7533 0.7500
Rb2 0.7533 0.2467 0.2500
Dy1 0.0000 0.0000 0.0000
Dy2 0.0000 0.0000 0.5000
Pd1 0.4907 0.5093 0.2500
Pd2 0.5093 0.4907 0.7500
Se1 0.0852 0.9148 0.2500
Se2 0.3843 0.6157 0.0715
Se3 0.3843 0.6157 0.4285
Se4 0.6157 0.3843 0.5715
Se5 0.6157 0.3843 0.9285
Se6 0.9148 0.0852 0.7500
# Electronic total energy ... -4.694 eV per atom
# Volume ... 170.60 Å³/f.u.

No. 2
# PBE-GGA RbDyPdSe3, relaxed
data_RbDyPdSe3
_space_group_name_H-M_alt 'P 1'
_space_group_IT_number 1
_cell_length_a 9.1895
_cell_length_b 4.1680
_cell_length_c 9.9308
_cell_angle_alpha 90.00
_cell_angle_beta 111.16
_cell_angle_gamma 90.00
loop_
_space_group_symop_operation_xyz
'x,y,z'
loop_
_atom_site_label
_atom_site_fract_x
_atom_site_fract_y
_atom_site_fract_z
Rb1 0.2168 0.2500 0.2422
Rb2 0.7832 0.7500 0.7578
Dy1 0.3206 0.7500 0.8594
Dy2 0.6794 0.2500 0.1406
Pd1 0.0885 0.2500 0.5904
Pd2 0.9115 0.7500 0.4096
Se1 0.1075 0.2500 0.8585
Se2 0.2083 0.7500 0.5397
Se3 0.4700 0.7500 0.1622
Se4 0.5300 0.2500 0.8378
Se5 0.7917 0.2500 0.4603
Se6 0.8925 0.7500 0.1415
# Electronic total energy ... -4.693 eV per atom
# Volume ... 177.36 Å³/f.u.

No. 3
# PBE-GGA DyRePd, relaxed
data_DyRePd
_space_group_name_H-M_alt 'P 1'
_space_group_IT_number 1
_cell_length_a 4.5269
_cell_length_b 4.5269
_cell_length_c 4.5269
_cell_angle_alpha 60.00
_cell_angle_beta 60.00
_cell_angle_gamma 60.00
loop_
_space_group_symop_operation_xyz
'x,y,z'
loop_
_atom_site_label
_atom_site_fract_x
_atom_site_fract_y
_atom_site_fract_z
Dy1 0.0000 0.0000 0.0000
Re1 0.5000 0.5000 0.5000
Pd1 0.2500 0.2500 0.2500
# Offset from the most stable computed form ... 0 meV per atom
# Volume ... 65.60 Å³/f.u.
# Formation enthalpy at 0 K ... 0.55 eV/atom

No. 4
# PBE-GGA DyRePd, relaxed
data_DyRePd
_space_group_name_H-M_alt 'P 1'
_space_group_IT_number 1
_cell_length_a 4.5692
_cell_length_b 4.5692
_cell_length_c 4.5692
_cell_angle_alpha 60.00
_cell_angle_beta 60.00
_cell_angle_gamma 60.00
loop_
_space_group_symop_operation_xyz
'x,y,z'
loop_
_atom_site_label
_atom_site_fract_x
_atom_site_fract_y
_atom_site_fract_z
Dy1 0.0000 0.0000 0.0000
Re1 0.2500 0.2500 0.2500
Pd1 0.7500 0.7500 0.7500
# Offset from the most stable computed form ... 538 meV per atom
# Volume ... 67.45 Å³/f.u.
# Formation enthalpy at 0 K ... 1.09 eV/atom

No. 5
# PBE-GGA Dy4Pd2S, relaxed
data_Dy4Pd2S
_space_group_name_H-M_alt 'P 1'
_space_group_IT_number 1
_cell_length_a 7.8216
_cell_length_b 7.8216
_cell_length_c 7.8216
_cell_angle_alpha 141.41
_cell_angle_beta 141.41
_cell_angle_gamma 55.71
loop_
_space_group_symop_operation_xyz
'x,y,z'
loop_
_atom_site_label
_atom_site_fract_x
_atom_site_fract_y
_atom_site_fract_z
Dy1 0.0000 0.5000 0.5000
Dy2 0.1971 0.1971 0.0000
Dy3 0.5000 0.0000 0.5000
Dy4 0.8029 0.8029 0.0000
Pd1 0.3909 0.3909 0.0000
Pd2 0.6091 0.6091 0.0000
S1 0.0000 0.0000 0.0000
# Electronic total energy ... -5.501 eV per atom
# Volume ... 184.74 Å³/f.u.

No. 6
# PBE-GGA DySbPd, relaxed
data_DySbPd
_space_group_name_H-M_alt 'P 1'
_space_group_IT_number 1
_cell_length_a 4.5962
_cell_length_b 4.5962
_cell_length_c 7.3751
_cell_angle_alpha 90.00
_cell_angle_beta 90.00
_cell_angle_gamma 120.00
loop_
_space_group_symop_operation_xyz
'x,y,z'
loop_
_atom_site_label
_atom_site_fract_x
_atom_site_fract_y
_atom_site_fract_z
Dy1 0.0000 0.0000 0.0000
Dy2 0.0000 0.0000 0.5000
Sb1 0.3333 0.6667 0.2263
Sb2 0.6667 0.3333 0.7263
Pd1 0.3333 0.6667 0.8301
Pd2 0.6667 0.3333 0.3301
# Electronic total energy ... -5.715 eV per atom
# Volume ... 67.46 Å³/f.u.